TePBr3: relaxed, PBE.

Results
For the distance to the lowest polymorph of the same formula, the calculation gives 0.1808 eV per atom. For the volume, the calculation gives 180 Å³/cell. The uncorrected formation energy is 0.50 eV per atom. The raw total energy is -11.05 eV/f.u.

```
data_TePBr3
_chemical_formula_sum 'Te1 P1 Br3'
_space_group_name_H-M_alt 'P m -3 m'
_space_group_IT_number 221
_space_group_name_Hall '-P 4 2 3'
_cell_length_a 5.6439
_cell_length_b 5.6439
_cell_length_c 5.6439
_cell_angle_alpha 90.00
_cell_angle_beta 90.00
_cell_angle_gamma 90.00
loop_
_atom_site_label
_atom_site_fract_x
_atom_site_fract_y
_atom_site_fract_z
Te1 0.0000 0.0000 0.0000
P1 0.5000 0.5000 0.5000
Br1 0.0000 0.0000 0.5000
```

=====

TePBr3: relaxed, PBE.

Results
For the distance to the lowest polymorph of the same formula, the calculation gives 0.0000 eV per atom. For the volume, the calculation gives 144 Å³/cell. The uncorrected formation energy is 0.32 eV per atom. The raw total energy is -11.95 eV/f.u.

```
data_TePBr3
_chemical_formula_sum 'Te1 P1 Br3'
_space_group_name_H-M_alt 'P m -3 m'
_space_group_IT_number 221
_space_group_name_Hall '-P 4 2 3'
_cell_length_a 5.2427
_cell_length_b 5.2427
_cell_length_c 5.2427
_cell_angle_alpha 90.00
_cell_angle_beta 90.00
_cell_angle_gamma 90.00
loop_
_atom_site_label
_atom_site_fract_x
_atom_site_fract_y
_atom_site_fract_z
Te1 0.0000 0.0000 0.0000
P1 0.5000 0.5000 0.5000
Br1 0.0000 0.5000 0.5000
```

=====

TeP2Br: relaxed, PBE.

Results
For the distance to the lowest polymorph of the same formula, the calculation gives 0.0028 eV per atom. For the volume, the calculation gives 265 Å³/cell. The uncorrected formation energy is 0.03 eV per atom. The raw total energy is -15.50 eV/f.u.

```
data_TeP2Br
_chemical_formula_sum 'Te2 P4 Br2'
_space_group_name_H-M_alt 'C 1 m 1'
_space_group_IT_number 8
_cell_length_a 12.4072
_cell_length_b 3.2884
_cell_length_c 6.5069
_cell_angle_alpha 90.00
_cell_angle_beta 90.44
_cell_angle_gamma 90.00
loop_
_space_group_symop_operation_xyz
'x,y,z'
'x,-y,z'
'x+1/2,y+1/2,z'
'x+1/2,-y+1/2,z'
loop_
_atom_site_label
_atom_site_fract_x
_atom_site_fract_y
_atom_site_fract_z
Te1 0.0000 0.0000 0.0000
P1 0.1308 0.5000 0.6174
P2 0.1821 0.0000 0.8375
Br1 0.2841 0.5000 0.4258
```

=====

TeP2Br: relaxed, PBE.

Results
For the distance to the lowest polymorph of the same formula, the calculation gives 0.6882 eV per atom. For the volume, the calculation gives 108 Å³/cell. The uncorrected formation energy is 0.72 eV per atom. The raw total energy is -12.76 eV/f.u.

```
data_TeP2Br
_chemical_formula_sum 'Te1 P2 Br1'
_space_group_name_H-M_alt 'P m m m'
_space_group_IT_number 47
_cell_length_a 3.7981
_cell_length_b 3.8081
_cell_length_c 7.4573
_cell_angle_alpha 90.00
_cell_angle_beta 90.00
_cell_angle_gamma 90.00
loop_
_space_group_symop_operation_xyz
'x,y,z'
'-x,-y,-z'
'-x,-y,z'
'x,y,-z'
'x,-y,-z'
'-x,y,z'
'-x,y,-z'
'x,-y,z'
loop_
_atom_site_label
_atom_site_fract_x
_atom_site_fract_y
_atom_site_fract_z
Te1 0.0000 0.0000 0.0000
P1 0.5000 0.0000 0.5000
P2 0.5000 0.5000 0.0000
Br1 0.0000 0.5000 0.5000
```

=====

TeP2Br: relaxed, PBE.

Results
For the distance to the lowest polymorph of the same formula, the calculation gives 0.7471 eV per atom. For the volume, the calculation gives 178 Å³/cell. The uncorrected formation energy is 0.78 eV per atom. The raw total energy is -12.52 eV/f.u.

```
data_TeP2Br
_chemical_formula_sum 'Te2 P4 Br2'
_space_group_name_H-M_alt 'I m m m'
_space_group_IT_number 71
_space_group_name_Hall '-I 2 2'
_cell_length_a 3.4561
_cell_length_b 5.4794
_cell_length_c 9.4225
_cell_angle_alpha 90.00
_cell_angle_beta 90.00
_cell_angle_gamma 90.00
loop_
_atom_site_label
_atom_site_fract_x
_atom_site_fract_y
_atom_site_fract_z
Te1 0.0000 0.0000 0.0000
P1 0.0000 0.5000 0.2817
Br1 0.0000 0.0000 0.5000
```

=====

TeP2Br: relaxed, PBE.

Results
For the distance to the lowest polymorph of the same formula, the calculation gives 0.2204 eV per atom. For the volume, the calculation gives 286 Å³/cell. The uncorrected formation energy is 0.25 eV per atom. The raw total energy is -14.63 eV/f.u.

```
data_TeP2Br
_chemical_formula_sum 'Te2 P4 Br2'
_space_group_name_H-M_alt 'I m m 2'
_space_group_IT_number 44
_cell_length_a 3.2341
_cell_length_b 5.1022
_cell_length_c 17.3483
_cell_angle_alpha 90.00
_cell_angle_beta 90.00
_cell_angle_gamma 90.00
loop_
_space_group_symop_operation_xyz
'x,y,z'
'-x,-y,z'
'-x,y,z'
'x,-y,z'
'x+1/2,y+1/2,z+1/2'
'-x+1/2,-y+1/2,z+1/2'
'-x+1/2,y+1/2,z+1/2'
'x+1/2,-y+1/2,z+1/2'
loop_
_atom_site_label
_atom_site_fract_x
_atom_site_fract_y
_atom_site_fract_z
Te1 0.0000 0.0000 0.0000
P1 0.0000 0.0000 0.6628
P2 0.0000 0.5000 0.2435
Br1 0.0000 0.5000 0.9448
```